No. 1
The following is a PBE-GGA calculation of a relaxed structure of CaScAl2Os, from Alexandria via LeMat-Bulk.

Cell: 4.851 4.851 4.984 Å, 90.00 90.00 90.00°
Space group P4/mmm (No. 123)
One atom of each set of equivalent atoms:
Ca (0.000, 0.000, 0.000) (multiplicity 1)
Sc (0.500, 0.500, 0.000) (multiplicity 1)
Al (0.000, 0.500, 0.500) (multiplicity 2)
Os (0.500, 0.500, 0.500) (multiplicity 1)

* formation enthalpy at 0 K: -0.182 eV per atom


No. 2
The following is a PBE-GGA calculation of a relaxed structure of CaAlSi2Os, from Alexandria via LeMat-Bulk.

Cell: 3.993 3.993 10.768 Å, 90.00 90.00 90.00°
Space group I-4m2 (No. 119)
One atom of each set of equivalent atoms:
Ca (0.000, 0.000, 0.000) (multiplicity 2)
Al (0.000, 0.500, 0.250) (multiplicity 2)
Si (0.000, 0.000, 0.386) (multiplicity 4)
Os (0.000, 0.500, 0.750) (multiplicity 2)

* energy relative to the elements, uncorrected: -425 meV/atom


No. 3
The following is a PBE-GGA calculation of a relaxed structure of CaTiAlOs2, from Alexandria via LeMat-Bulk.

Cell: 4.632 4.632 4.897 Å, 90.00 90.00 90.00°
Space group P4/mmm (No. 123)
One atom of each set of equivalent atoms:
Ca (0.000, 0.000, 0.000) (multiplicity 1)
Ti (0.500, 0.500, 0.500) (multiplicity 1)
Al (0.500, 0.500, 0.000) (multiplicity 1)
Os (0.000, 0.500, 0.500) (multiplicity 2)

* formation enthalpy at 0 K: 0.813 eV per atom


No. 4
The following is a PBE-GGA calculation of a relaxed structure of CaAlP2, from Alexandria via LeMat-Bulk.

Cell: 3.034 5.074 5.075 Å, 90.00 90.01 90.00°
Space group Pm (No. 6)
One atom of each set of equivalent atoms:
Ca (0.000, 0.000, 0.000) (multiplicity 1)
Al (0.498, 0.500, 0.501) (multiplicity 1)
P (0.459, 0.000, 0.500) (multiplicity 1)
P (0.541, 0.500, 0.001) (multiplicity 1)

* formation enthalpy at 0 K: -0.346 eV per atom


No. 5
The following is a PBE-GGA calculation of a relaxed structure of Ca2AlP, from Alexandria via LeMat-Bulk.

Cell: 4.543 3.915 5.918 Å, 90.00 112.56 90.00°
Space group Pm (No. 6)
One atom of each set of equivalent atoms:
Ca (0.000, 0.000, 0.000) (multiplicity 1)
Ca (0.286, 0.500, 0.570) (multiplicity 1)
Al (0.577, 0.500, 0.155) (multiplicity 1)
P (0.721, 0.000, 0.440) (multiplicity 1)

* formation enthalpy at 0 K: -0.673 eV per atom


No. 6
The following is a PBE-GGA calculation of a relaxed structure of CaAlP, from Alexandria via LeMat-Bulk.

Cell: 4.818 4.865 10.487 Å, 90.00 90.00 90.00°
Space group Fmm2 (No. 42)
One atom of each set of equivalent atoms:
Ca (0.000, 0.000, 0.000) (multiplicity 4)
Al (0.000, 0.000, 0.713) (multiplicity 4)
P (0.000, 0.000, 0.302) (multiplicity 4)

* formation enthalpy at 0 K: -0.442 eV per atom


No. 7
The following is a PBE-GGA calculation of a relaxed structure of Ca2AlP, from Alexandria via LeMat-Bulk.

Cell: 8.064 8.064 6.724 Å, 90.00 90.00 90.00°
Space group I-42d (No. 122)
One atom of each set of equivalent atoms:
Ca (0.207, 0.250, 0.125) (multiplicity 8)
Al (0.000, 0.000, 0.500) (multiplicity 4)
P (0.000, 0.000, 0.000) (multiplicity 4)

* formation enthalpy at 0 K: -0.264 eV per atom


No. 8
The following is a PBE-GGA calculation of a relaxed structure of CaAlP2, from Alexandria via LeMat-Bulk.

Cell: 6.116 6.563 3.651 Å, 90.00 90.00 90.00°
Space group Cmmm (No. 65)
One atom of each set of equivalent atoms:
Ca (0.000, 0.000, 0.000) (multiplicity 2)
Al (0.000, 0.500, 0.000) (multiplicity 2)
P (0.250, 0.250, 0.500) (multiplicity 4)

* formation enthalpy at 0 K: -0.284 eV per atom


No. 9
The following is a PBE-GGA calculation of a relaxed structure of Ca2AlP, from Alexandria via LeMat-Bulk.

Cell: 7.226 4.142 8.216 Å, 90.00 106.60 90.00°
Space group C2/m (No. 12)
One atom of each set of equivalent atoms:
Ca (0.228, 0.000, 0.186) (multiplicity 4)
Al (0.000, 0.000, 0.500) (multiplicity 2)
P (0.000, 0.500, 0.000) (multiplicity 2)

* formation enthalpy at 0 K: -0.404 eV per atom


No. 10
The following is a PBE-GGA calculation of a relaxed structure of Ca2AlP, from Alexandria via LeMat-Bulk.

Cell: 7.256 7.256 7.256 Å, 90.00 90.00 90.00°
Space group Fm-3m (No. 225)
One atom of each set of equivalent atoms:
Ca (0.250, 0.250, 0.250) (multiplicity 8)
Al (0.000, 0.000, 0.000) (multiplicity 4)
P (0.000, 0.000, 0.500) (multiplicity 4)

* formation enthalpy at 0 K: -0.345 eV per atom


No. 11
The following is a PBE-GGA calculation of a relaxed structure of CaAlP, from Alexandria via LeMat-Bulk.

Cell: 8.791 10.192 12.991 Å, 90.00 90.00 90.00°
Space group Fddd (No. 70, origin choice 2)
One atom of each set of equivalent atoms:
Ca (0.125, 0.125, 0.281) (multiplicity 16)
Al (0.000, 0.000, 0.500) (multiplicity 16)
P (0.110, 0.375, 0.375) (multiplicity 16)

* formation enthalpy at 0 K: -0.381 eV per atom


No. 12
The following is a PBE-GGA calculation of a relaxed structure of Ca2AlP, from Alexandria via LeMat-Bulk.

Cell: 7.285 7.285 7.285 Å, 90.00 90.00 90.00°
Space group F-43m (No. 216)
One atom of each set of equivalent atoms:
Ca (0.000, 0.000, 0.000) (multiplicity 4)
Ca (0.250, 0.250, 0.250) (multiplicity 4)
Al (0.000, 0.000, 0.500) (multiplicity 4)
P (0.250, 0.250, 0.750) (multiplicity 4)

* formation enthalpy at 0 K: 0.027 eV per atom


No. 13
The following is a PBE-GGA calculation of a relaxed structure of CaAlP, from Alexandria via LeMat-Bulk.

Cell: 6.715 6.715 6.715 Å, 90.00 90.00 90.00°
Space group F-43m (No. 216)
One atom of each set of equivalent atoms:
Ca (0.000, 0.000, 0.000) (multiplicity 4)
Al (0.250, 0.250, 0.250) (multiplicity 4)
P (0.250, 0.250, 0.750) (multiplicity 4)

* formation enthalpy at 0 K: 0.025 eV per atom


No. 14
The following is a PBE-GGA calculation of a relaxed structure of CaAlP2, from Alexandria via LeMat-Bulk.

Cell: 3.6890 3.6890 20.2409 Å, 90.00 90.00 120.00°
Space group R-3m (No. 166, hexagonal axes)
One atom of each set of equivalent atoms:
Ca (0.0000, 0.0000, 0.0000) (multiplicity 3)
Al (0.0000, 0.0000, 0.5000) (multiplicity 3)
P (0.0000, 0.0000, 0.2350) (multiplicity 6)

* formation enthalpy at 0 K: -0.582 eV per atom


No. 15
The following is a PBE-GGA calculation of a relaxed structure of CaAlP, from Alexandria via LeMat-Bulk.

Cell: 5.526 7.302 6.033 Å, 90.00 90.00 90.00°
Space group Pbcm (No. 57)
One atom of each set of equivalent atoms:
Ca (0.127, 0.093, 0.250) (multiplicity 4)
Al (0.370, 0.750, 0.000) (multiplicity 4)
P (0.364, 0.063, 0.750) (multiplicity 4)

* formation enthalpy at 0 K: -0.699 eV per atom


No. 16
The following is a PBE-GGA calculation of a relaxed structure of CaAlP, from Alexandria via LeMat-Bulk.

Cell: 6.597 6.597 6.597 Å, 90.00 90.00 90.00°
Space group F-43m (No. 216)
One atom of each set of equivalent atoms:
Ca (0.000, 0.000, 0.000) (multiplicity 4)
Al (0.000, 0.000, 0.500) (multiplicity 4)
P (0.250, 0.250, 0.250) (multiplicity 4)

* formation enthalpy at 0 K: -0.216 eV per atom


No. 17
The following is a PBE-GGA calculation of a relaxed structure of CaAlP2, from Alexandria via LeMat-Bulk.

Cell: 3.853 3.853 9.973 Å, 90.00 90.00 90.00°
Space group I-4m2 (No. 119)
One atom of each set of equivalent atoms:
Ca (0.000, 0.000, 0.000) (multiplicity 2)
Al (0.000, 0.500, 0.250) (multiplicity 2)
P (0.000, 0.000, 0.500) (multiplicity 2)
P (0.000, 0.500, 0.750) (multiplicity 2)

* formation enthalpy at 0 K: -0.246 eV per atom


No. 18
The following is a PBE-GGA calculation of a relaxed structure of CaAl2P2, from Alexandria via LeMat-Bulk.

Cell: 5.192 5.192 5.549 Å, 90.00 90.00 90.00°
Space group P4/mmm (No. 123)
One atom of each set of equivalent atoms:
Ca (0.000, 0.000, 0.000) (multiplicity 1)
Al (0.000, 0.000, 0.500) (multiplicity 1)
Al (0.500, 0.500, 0.500) (multiplicity 1)
P (0.000, 0.500, 0.000) (multiplicity 2)

* formation enthalpy at 0 K: 1.011 eV per atom


No. 19
The following is a PBE-GGA calculation of a relaxed structure of CaAl2P2, from Alexandria via LeMat-Bulk.

Cell: 4.2586 4.2586 6.2925 Å, 90.00 90.00 120.00°
Space group P-3m1 (No. 164)
One atom of each set of equivalent atoms:
Ca (0.0000, 0.0000, 0.0000) (multiplicity 1)
Al (0.3333, 0.6667, 0.3484) (multiplicity 2)
P (0.3333, 0.6667, 0.7280) (multiplicity 2)

* formation enthalpy at 0 K: -0.542 eV per atom


No. 20
The following is a PBE-GGA calculation of a relaxed structure of Ca2AlP, from Alexandria via LeMat-Bulk.

Cell: 4.557 4.557 8.805 Å, 90.00 90.00 90.00°
Space group I4/mmm (No. 139)
One atom of each set of equivalent atoms:
Ca (0.000, 0.500, 0.250) (multiplicity 4)
Al (0.000, 0.000, 0.000) (multiplicity 2)
P (0.000, 0.000, 0.500) (multiplicity 2)

* formation enthalpy at 0 K: -0.424 eV per atom


No. 21
The following is a PBE-GGA calculation of a relaxed structure of Ca2AlP2, from Alexandria via LeMat-Bulk.

Cell: 7.178 7.178 4.070 Å, 90.00 90.00 90.00°
Space group P4/mbm (No. 127)
One atom of each set of equivalent atoms:
Ca (0.150, 0.350, 0.000) (multiplicity 4)
Al (0.000, 0.000, 0.500) (multiplicity 2)
P (0.166, 0.666, 0.500) (multiplicity 4)

* formation enthalpy at 0 K: -0.734 eV per atom


No. 22
The following is a PBE-GGA calculation of a relaxed structure of CaAlP, from Alexandria via LeMat-Bulk.

Cell: 6.750 3.692 10.989 Å, 90.00 90.00 90.00°
Space group Pnma (No. 62)
One atom of each set of equivalent atoms:
Ca (0.124, 0.250, 0.152) (multiplicity 4)
Al (0.160, 0.250, 0.441) (multiplicity 4)
P (0.030, 0.250, 0.655) (multiplicity 4)

* formation enthalpy at 0 K: -0.621 eV per atom


No. 23
The following is a PBE-GGA calculation of a relaxed structure of Ca2AlP, from Alexandria via LeMat-Bulk.

Cell: 3.8667 3.8667 25.9053 Å, 90.00 90.00 120.00°
Space group R3m (No. 160, hexagonal axes)
One atom of each set of equivalent atoms:
Ca (0.0000, 0.0000, 0.0000) (multiplicity 3)
Ca (0.0000, 0.0000, 0.2052) (multiplicity 3)
Al (0.0000, 0.0000, 0.4454) (multiplicity 3)
P (0.0000, 0.0000, 0.7387) (multiplicity 3)

* formation enthalpy at 0 K: -0.468 eV per atom


No. 24
The following is a PBE-GGA calculation of a relaxed structure of Ca2AlP, from Alexandria via LeMat-Bulk.

Cell: 3.488 3.488 8.292 Å, 90.00 90.00 90.00°
Space group P4mm (No. 99)
One atom of each set of equivalent atoms:
Ca (0.000, 0.000, 0.000) (multiplicity 1)
Ca (0.500, 0.500, 0.390) (multiplicity 1)
Al (0.500, 0.500, 0.744) (multiplicity 1)
P (0.000, 0.000, 0.629) (multiplicity 1)

* formation enthalpy at 0 K: -0.355 eV per atom


No. 25
The following is a PBE-GGA calculation of a relaxed structure of CaAlP2, from Alexandria via LeMat-Bulk.

Cell: 6.763 6.763 6.763 Å, 90.00 90.00 90.00°
Space group F-43m (No. 216)
One atom of each set of equivalent atoms:
Ca (0.000, 0.000, 0.000) (multiplicity 4)
Al (0.250, 0.250, 0.250) (multiplicity 4)
P (0.000, 0.000, 0.500) (multiplicity 4)
P (0.250, 0.250, 0.750) (multiplicity 4)

* formation enthalpy at 0 K: 0.162 eV per atom


No. 26
The following is a PBE-GGA calculation of a relaxed structure of CaAlP2, from Alexandria via LeMat-Bulk.

Cell: 6.945 6.945 7.136 Å, 90.00 90.00 90.00°
Space group I-42d (No. 122)
One atom of each set of equivalent atoms:
Ca (0.000, 0.000, 0.000) (multiplicity 4)
Al (0.000, 0.000, 0.500) (multiplicity 4)
P (0.193, 0.250, 0.625) (multiplicity 8)

* formation enthalpy at 0 K: -0.596 eV per atom


No. 27
The following is a PBE-GGA calculation of a relaxed structure of CaAlP3, from Alexandria via LeMat-Bulk.

Cell: 4.716 4.716 4.716 Å, 90.00 90.00 90.00°
Space group Pm-3m (No. 221)
One atom of each set of equivalent atoms:
Ca (0.000, 0.000, 0.000) (multiplicity 1)
Al (0.500, 0.500, 0.500) (multiplicity 1)
P (0.000, 0.500, 0.500) (multiplicity 3)

* formation enthalpy at 0 K: 0.004 eV per atom


No. 28
The following is a PBE-GGA calculation of a relaxed structure of Ca2AlP, from Alexandria via LeMat-Bulk.

Cell: 3.735 3.758 6.605 Å, 90.00 90.00 90.00°
Space group Pmmm (No. 47)
One atom of each set of equivalent atoms:
Ca (0.000, 0.000, 0.222) (multiplicity 2)
Al (0.500, 0.500, 0.500) (multiplicity 1)
P (0.500, 0.500, 0.000) (multiplicity 1)

* formation enthalpy at 0 K: -0.540 eV per atom


Energy, record by record: -0.2055 -0.2201 -0.2354 -0.1649 -0.1456 -0.1529 -0.1306 -0.1626 -0.1357 -0.1336 -0.1506 -0.1199 -0.1357 -0.1736 -0.1623 -0.1446 -0.1612 -0.1121 -0.1692 -0.1364 -0.1634 -0.1595 -0.1381 -0.1339 -0.1462 -0.1741 -0.1614 -0.1407 Ha/atom